[1]
Entry from the Alexandria database: a relaxed PmDy4Al2 crystal (PBE-GGA).

Output
DFT formation energy   0.2641 eV per atom
ΔE to the lowest computed polymorph   301 meV/atom
SG   I4/mmm
Magnetic moment   0.004 μB per formula unit

a = 7.5158 Å, b = 7.5158 Å, c = 7.5158 Å
α = 135.82°, β = 135.82°, γ = 64.25°
Closest atoms and distances in Å follow each position.
Fractional positions:
Pm 0.0000 0.0000 0.0000  4 Dy 2.83
Dy 0.0000 0.5000 0.5000  2 Pm 2.83
Dy 0.2500 0.7500 0.5000  2 Dy 3.18, 4 Al 3.31
Dy 0.5000 0.0000 0.5000  2 Pm 2.83
Dy 0.7500 0.2500 0.5000  2 Dy 3.18, 4 Al 3.31
Al 0.3853 0.3853 0.0000  1 Al 2.92, 4 Dy 3.18
Al 0.6147 0.6147 0.0000  1 Al 2.92, 4 Dy 3.18

[2]
Entry from the Alexandria database: a relaxed Th4Rh2N crystal (PBE-GGA).

Output
SG   I4/mmm
Magnetic moment   0.000 μB per formula unit
ΔE_f (raw)   -0.780 eV/atom

a = 8.0916 Å, b = 8.0916 Å, c = 8.0916 Å
α = 145.05°, β = 145.05°, γ = 50.26°
Closest atoms and distances in Å follow each position.
Fractional positions:
Th 0.0000 0.5000 0.5000  2 N 2.43
Th 0.1858 0.1858 0.0000  1 Rh 2.54, 1 N 2.72
Th 0.5000 0.0000 0.5000  2 N 2.43
Th 0.8142 0.8142 0.0000  1 Rh 2.54, 1 N 2.72
Rh 0.3593 0.3593 0.0000  1 Th 2.54
Rh 0.6407 0.6407 0.0000  1 Th 2.54
N 0.0000 0.0000 0.0000  4 Th 2.43